Computed, not measured: a geometry-optimized BaWO4 structure at the GGA-PBEsol level of DFT.

Properties
**Calculated volume**: 14.7 Å³ per atom
**ΔE to the lowest computed polymorph**: 0.0071 eV per atom
**Spin magnetization**: 0.0 μB/cell
**VASP energy**: -8.754 eV/atom
**Energy relative to the elements, uncorrected**: -250.37 kJ/mol of atoms

a = 7.122 Å, b = 7.502 Å, c = 13.219 Å
α = 85.99°, β = 90.00°, γ = 90.00°
Element x y z (fractional)
W 0.552 0.659 0.918
W 0.948 0.159 0.418
W 0.659 0.591 0.420
W 0.159 0.909 0.080
W 0.448 0.341 0.082
W 0.341 0.409 0.580
W 0.052 0.841 0.582
W 0.841 0.091 0.920
O 0.747 0.060 0.794
O 0.862 0.025 0.553
O 0.477 0.210 0.614
O 0.632 0.191 0.974
O 0.362 0.475 0.947
O 0.977 0.290 0.886
O 0.911 0.706 0.672
O 0.247 0.440 0.706
O 0.313 0.456 0.170
O 0.753 0.560 0.294
O 0.368 0.809 0.026
O 0.772 0.326 0.454
O 0.089 0.294 0.328
O 0.253 0.940 0.206
O 0.076 0.951 0.926
O 0.924 0.049 0.074
O 0.424 0.451 0.426
O 0.813 0.044 0.330
O 0.187 0.956 0.670
O 0.728 0.826 0.954
O 0.138 0.975 0.447
O 0.687 0.544 0.830
O 0.132 0.309 0.526
O 0.272 0.174 0.046
O 0.023 0.710 0.114
O 0.638 0.525 0.053
O 0.523 0.790 0.386
O 0.589 0.206 0.172
O 0.868 0.691 0.474
O 0.576 0.549 0.574
O 0.228 0.674 0.546
O 0.411 0.794 0.828
Ba 0.343 0.160 0.840
Ba 0.060 0.642 0.853
Ba 0.843 0.340 0.660
Ba 0.657 0.840 0.160
Ba 0.560 0.858 0.647
Ba 0.157 0.660 0.340
Ba 0.440 0.142 0.353
Ba 0.940 0.358 0.147